Entry 1:
CeZr2TcC4: optimized geometry, PBE-GGA.

## Properties
DFT total energy: -145.8 eV for the cell shown
formation energy: -325 meV per atom
symmetry: Cmcm (63)
magnetization: 0.0000 μB per atom
volume: 14.272 A^3/atom
D(E_F): 8.75 states/eV/cell

Unit cell a=6.1032 b=6.1032 c=11.5839 alpha=90.00 beta=90.00 gamma=148.05
Last column: nearest neighbours and their distance in Å.
Positions (direct):
Ce  0.0975  0.9025  0.7500  6 C 2.55-2.79
Ce  0.9025  0.0975  0.2500  6 C 2.55-2.79
Zr  0.3704  0.6296  0.5400  5 C 2.23-2.48
Zr  0.3704  0.6296  0.9600  5 C 2.23-2.48
Zr  0.6296  0.3704  0.0400  5 C 2.23-2.48
Zr  0.6296  0.3704  0.4600  5 C 2.23-2.48
Tc  0.1638  0.8362  0.2500  4 C 1.92-2.03
Tc  0.8362  0.1638  0.7500  4 C 1.92-2.03
C  0.0000  0.0000  0.0000  4 Zr 2.31
C  0.0000  0.0000  0.5000  4 Zr 2.31
C  0.2635  0.7365  0.1190  1 Tc 1.92
C  0.2635  0.7365  0.3810  1 Tc 1.92
C  0.4340  0.5660  0.7500  2 Tc 2.03
C  0.5660  0.4340  0.2500  2 Tc 2.03
C  0.7365  0.2635  0.6190  1 Tc 1.92
C  0.7365  0.2635  0.8810  1 Tc 1.92

***

Entry 2:
CeZrTcC3: optimized geometry, PBE-GGA.

## Properties
DFT total energy: -105.7 eV for the cell shown
formation energy: -53 meV per atom
symmetry: P2_1/m (11)
magnetization: 0.0000 μB per atom
volume: 16.051 A^3/atom
D(E_F): 10.03 states/eV/cell

Unit cell a=7.2532 b=3.4498 c=7.7810 alpha=90.00 beta=98.38 gamma=90.00
Last column: nearest neighbours and their distance in Å.
Positions (direct):
Ce  0.1724  0.2500  0.1807  5 C 2.49-2.77
Ce  0.8276  0.7500  0.8193  5 C 2.49-2.77
Zr  0.3671  0.7500  0.8546  5 C 2.21-2.44
Zr  0.6329  0.2500  0.1454  5 C 2.21-2.44
Tc  0.1054  0.2500  0.6024  4 C 1.94-2.08
Tc  0.8946  0.7500  0.3976  4 C 1.94-2.08
C  0.1290  0.2500  0.8537  1 Tc 1.94
C  0.1749  0.7500  0.5027  3 Tc 1.99-2.08
C  0.4102  0.7500  0.1412  3 Zr 2.21-2.36
C  0.5898  0.2500  0.8588  3 Zr 2.21-2.36
C  0.8251  0.2500  0.4973  3 Tc 1.99-2.08
C  0.8710  0.7500  0.1463  1 Tc 1.94

***

Entry 3:
Ce12Te3C5: optimized geometry, PBE-GGA.

## Properties
DFT total energy: -532.3 eV for the cell shown
symmetry: Ia-3d (230)
magnetization: 0.6883 μB per atom
volume: 26.323 A^3/atom
formation energy without anion corrections: -316.6 meV per atom
D(E_F): 222.98 states/eV/cell

Unit cell a=13.9857 b=13.9857 c=13.9857 alpha=109.47 beta=109.47 gamma=109.47
Last column: nearest neighbours and their distance in Å.
Positions (direct):
Ce  0.0133  0.1975  0.1074  2 C 2.34-2.57
Ce  0.0133  0.3159  0.9059  2 C 2.34-2.57
Ce  0.0900  0.6975  0.6841  2 C 2.34-2.57
Ce  0.0900  0.8926  0.4059  2 C 2.34-2.57
Ce  0.0941  0.6074  0.4100  2 C 2.34-2.57
Ce  0.0941  0.9867  0.6841  2 C 2.34-2.57
Ce  0.1074  0.0133  0.1975  2 C 2.34-2.57
Ce  0.1074  0.5941  0.9100  2 C 2.34-2.57
Ce  0.1841  0.1975  0.5900  2 C 2.34-2.57
Ce  0.1841  0.4867  0.5941  2 C 2.34-2.57
Ce  0.1975  0.1074  0.0133  2 C 2.34-2.57
Ce  0.1975  0.5900  0.1841  2 C 2.34-2.57
Ce  0.3025  0.3159  0.9100  2 C 2.34-2.57
Ce  0.3025  0.4867  0.3926  2 C 2.34-2.57
Ce  0.3159  0.9059  0.0133  2 C 2.34-2.57
Ce  0.3159  0.9100  0.3025  2 C 2.34-2.57
Ce  0.3926  0.3025  0.4867  2 C 2.34-2.57
Ce  0.3926  0.5900  0.9059  2 C 2.34-2.57
Ce  0.4059  0.0900  0.8926  2 C 2.34-2.57
Ce  0.4059  0.8159  0.5133  2 C 2.34-2.57
Ce  0.4100  0.0941  0.6074  2 C 2.34-2.57
Ce  0.4100  0.8159  0.8025  2 C 2.34-2.57
Ce  0.4867  0.3926  0.3025  2 C 2.34-2.57
Ce  0.4867  0.5941  0.1841  2 C 2.34-2.57
Ce  0.5133  0.4059  0.8159  2 C 2.34-2.57
Ce  0.5133  0.6074  0.6975  2 C 2.34-2.57
Ce  0.5900  0.1841  0.1975  2 C 2.34-2.57
Ce  0.5900  0.9059  0.3926  2 C 2.34-2.57
Ce  0.5941  0.1841  0.4867  2 C 2.34-2.57
Ce  0.5941  0.9100  0.1074  2 C 2.34-2.57
Ce  0.6074  0.4100  0.0941  2 C 2.34-2.57
Ce  0.6074  0.6975  0.5133  2 C 2.34-2.57
Ce  0.6841  0.0900  0.6975  2 C 2.34-2.57
Ce  0.6841  0.0941  0.9867  2 C 2.34-2.57
Ce  0.6975  0.5133  0.6074  2 C 2.34-2.57
Ce  0.6975  0.6841  0.0900  2 C 2.34-2.57
Ce  0.8025  0.4100  0.8159  2 C 2.34-2.57
Ce  0.8025  0.8926  0.9867  2 C 2.34-2.57
Ce  0.8159  0.5133  0.4059  2 C 2.34-2.57
Ce  0.8159  0.8025  0.4100  2 C 2.34-2.57
Ce  0.8926  0.4059  0.0900  2 C 2.34-2.57
Ce  0.8926  0.9867  0.8025  2 C 2.34-2.57
Ce  0.9059  0.0133  0.3159  2 C 2.34-2.57
Ce  0.9059  0.3926  0.5900  2 C 2.34-2.57
Ce  0.9100  0.1074  0.5941  2 C 2.34-2.57
Ce  0.9100  0.3025  0.3159  2 C 2.34-2.57
Ce  0.9867  0.6841  0.0941  2 C 2.34-2.57
Ce  0.9867  0.8025  0.8926  2 C 2.34-2.57
Te  0.1250  0.2500  0.3750  8 Ce 3.24-3.28
Te  0.1250  0.3750  0.7500  8 Ce 3.24-3.28
Te  0.2500  0.3750  0.1250  8 Ce 3.24-3.28
Te  0.2500  0.8750  0.6250  8 Ce 3.24-3.28
Te  0.3750  0.1250  0.2500  8 Ce 3.24-3.28
Te  0.3750  0.7500  0.1250  8 Ce 3.24-3.28
Te  0.6250  0.2500  0.8750  8 Ce 3.24-3.28
Te  0.6250  0.8750  0.7500  8 Ce 3.24-3.28
Te  0.7500  0.1250  0.3750  8 Ce 3.24-3.28
Te  0.7500  0.6250  0.8750  8 Ce 3.24-3.28
Te  0.8750  0.6250  0.2500  8 Ce 3.24-3.28
Te  0.8750  0.7500  0.6250  8 Ce 3.24-3.28
C  0.0000  0.0000  0.0000  6 Ce 2.57
C  0.0000  0.0000  0.5000  6 Ce 2.57
C  0.0000  0.5000  0.0000  6 Ce 2.57
C  0.0000  0.5000  0.5000  6 Ce 2.57
C  0.1250  0.7500  0.8750  4 Ce 2.34
C  0.1250  0.8750  0.2500  4 Ce 2.34
C  0.2500  0.1250  0.8750  4 Ce 2.34
C  0.2500  0.6250  0.3750  4 Ce 2.34
C  0.3750  0.2500  0.6250  4 Ce 2.34
C  0.3750  0.6250  0.7500  4 Ce 2.34
C  0.5000  0.0000  0.0000  6 Ce 2.57
C  0.5000  0.0000  0.5000  6 Ce 2.57
C  0.5000  0.5000  0.0000  6 Ce 2.57
C  0.5000  0.5000  0.5000  6 Ce 2.57
C  0.6250  0.3750  0.2500  4 Ce 2.34
C  0.6250  0.7500  0.3750  4 Ce 2.34
C  0.7500  0.3750  0.6250  4 Ce 2.34
C  0.7500  0.8750  0.1250  4 Ce 2.34
C  0.8750  0.1250  0.7500  4 Ce 2.34
C  0.8750  0.2500  0.1250  4 Ce 2.34